Arrangement w

# InCo2Ir2 PBE relaxed
# Fermi-level density of states (states/eV per atom): 1.451
data_InCo2Ir2
_space_group_name_H-M_alt 'I 4/m m m'
_space_group_IT_number 139
_space_group_name_Hall '-I 4 2'
_cell_length_a 3.5029
_cell_length_b 3.5029
_cell_length_c 12.3384
_cell_angle_alpha 90.00
_cell_angle_beta 90.00
_cell_angle_gamma 90.00
loop_
_atom_site_label
_atom_site_type_symbol
_atom_site_fract_x
_atom_site_fract_y
_atom_site_fract_z
_atom_site_occupancy
In1 In 0.0000 0.0000 0.0000 1
Co1 Co 0.0000 0.5000 0.2500 1
Ir1 Ir 0.0000 0.0000 0.3921 1

Arrangement x

# InCo2Ir2 PBE relaxed
# Fermi-level density of states (states/eV per atom): 1.135
data_InCo2Ir2
_space_group_name_H-M_alt 'P 4/m b m'
_space_group_IT_number 127
_space_group_name_Hall '-P 4 2ab'
_cell_length_a 7.3178
_cell_length_b 7.3178
_cell_length_c 2.7831
_cell_angle_alpha 90.00
_cell_angle_beta 90.00
_cell_angle_gamma 90.00
loop_
_atom_site_label
_atom_site_type_symbol
_atom_site_fract_x
_atom_site_fract_y
_atom_site_fract_z
_atom_site_occupancy
In1 In 0.0000 0.0000 0.0000 1
Co1 Co 0.1664 0.3336 0.5000 1
Ir1 Ir 0.1292 0.6292 0.0000 1

Order of stability, best first: arrangement x, arrangement w

Arrangement w

# KIn2Co PBE relaxed
# Fermi-level density of states (states/eV per atom): 0.179
data_KIn2Co
_space_group_name_H-M_alt 'I -4 2 d'
_space_group_IT_number 122
_space_group_name_Hall 'I -4 2bw'
_cell_length_a 6.3664
_cell_length_b 6.3664
_cell_length_c 14.7135
_cell_angle_alpha 90.00
_cell_angle_beta 90.00
_cell_angle_gamma 90.00
loop_
_atom_site_label
_atom_site_type_symbol
_atom_site_fract_x
_atom_site_fract_y
_atom_site_fract_z
_atom_site_occupancy
K1 K 0.0000 0.0000 0.0000 1
In1 In 0.0014 0.7500 0.6250 1
Co1 Co 0.0000 0.0000 0.5000 1

Arrangement x

# KIn2Co PBE relaxed
# Fermi-level density of states (states/eV per atom): 0.716
data_KIn2Co
_space_group_name_H-M_alt 'I m m 2'
_space_group_IT_number 44
_cell_length_a 3.0774
_cell_length_b 4.2560
_cell_length_c 16.0901
_cell_angle_alpha 90.00
_cell_angle_beta 90.00
_cell_angle_gamma 90.00
loop_
_space_group_symop_operation_xyz
'x,y,z'
'-x,-y,z'
'-x,y,z'
'x,-y,z'
'x+1/2,y+1/2,z+1/2'
'-x+1/2,-y+1/2,z+1/2'
'-x+1/2,y+1/2,z+1/2'
'x+1/2,-y+1/2,z+1/2'
loop_
_atom_site_label
_atom_site_type_symbol
_atom_site_fract_x
_atom_site_fract_y
_atom_site_fract_z
_atom_site_occupancy
K1 K 0.0000 0.0000 0.0000 1
In1 In 0.0000 0.0000 0.3348 1
In2 In 0.0000 0.5000 0.1839 1
Co1 Co 0.0000 0.5000 0.6991 1

Order of stability, best first: arrangement x, arrangement w

Arrangement w

# KIn2Co PBE relaxed
# Fermi-level density of states (states/eV per atom): 1.074
data_KIn2Co
_space_group_name_H-M_alt 'I -4 m 2'
_space_group_IT_number 119
_space_group_name_Hall 'I -4 -2'
_cell_length_a 5.1476
_cell_length_b 5.1476
_cell_length_c 7.3357
_cell_angle_alpha 90.00
_cell_angle_beta 90.00
_cell_angle_gamma 90.00
loop_
_atom_site_label
_atom_site_type_symbol
_atom_site_fract_x
_atom_site_fract_y
_atom_site_fract_z
_atom_site_occupancy
K1 K 0.0000 0.0000 0.0000 1
In1 In 0.0000 0.0000 0.5000 1
In2 In 0.0000 0.5000 0.2500 1
Co1 Co 0.0000 0.5000 0.7500 1

Arrangement x

# KIn2Co PBE relaxed
# Fermi-level density of states (states/eV per atom): 1.559
data_KIn2Co
_space_group_name_H-M_alt 'F m -3 m'
_space_group_IT_number 225
_space_group_name_Hall '-F 4 2 3'
_cell_length_a 7.1893
_cell_length_b 7.1893
_cell_length_c 7.1893
_cell_angle_alpha 90.00
_cell_angle_beta 90.00
_cell_angle_gamma 90.00
loop_
_atom_site_label
_atom_site_type_symbol
_atom_site_fract_x
_atom_site_fract_y
_atom_site_fract_z
_atom_site_occupancy
K1 K 0.0000 0.0000 0.0000 1
In1 In 0.2500 0.2500 0.2500 1
Co1 Co 0.0000 0.0000 0.5000 1

Arrangement y

# KIn2Co PBE relaxed
# Fermi-level density of states (states/eV per atom): 0.906
data_KIn2Co
_space_group_name_H-M_alt 'P 4/m m m'
_space_group_IT_number 123
_space_group_name_Hall '-P 4 2'
_cell_length_a 3.2563
_cell_length_b 3.2563
_cell_length_c 8.7802
_cell_angle_alpha 90.00
_cell_angle_beta 90.00
_cell_angle_gamma 90.00
loop_
_atom_site_label
_atom_site_type_symbol
_atom_site_fract_x
_atom_site_fract_y
_atom_site_fract_z
_atom_site_occupancy
K1 K 0.0000 0.0000 0.0000 1
In1 In 0.5000 0.5000 0.3241 1
Co1 Co 0.0000 0.0000 0.5000 1

Order of stability, best first: arrangement y, arrangement x, arrangement w

Arrangement w

# KIn2Co PBE relaxed
# Fermi-level density of states (states/eV per atom): 0.846
data_KIn2Co
_space_group_name_H-M_alt 'P 4/m m m'
_space_group_IT_number 123
_space_group_name_Hall '-P 4 2'
_cell_length_a 4.5937
_cell_length_b 4.5937
_cell_length_c 4.7179
_cell_angle_alpha 90.00
_cell_angle_beta 90.00
_cell_angle_gamma 90.00
loop_
_atom_site_label
_atom_site_type_symbol
_atom_site_fract_x
_atom_site_fract_y
_atom_site_fract_z
_atom_site_occupancy
K1 K 0.0000 0.0000 0.0000 1
In1 In 0.0000 0.5000 0.5000 1
Co1 Co 0.5000 0.5000 0.0000 1

Arrangement x

# KIn2Co PBE relaxed
# Fermi-level density of states (states/eV per atom): 0.890
data_KIn2Co
_space_group_name_H-M_alt 'I m m m'
_space_group_IT_number 71
_space_group_name_Hall '-I 2 2'
_cell_length_a 3.0449
_cell_length_b 5.9368
_cell_length_c 11.2776
_cell_angle_alpha 90.00
_cell_angle_beta 90.00
_cell_angle_gamma 90.00
loop_
_atom_site_label
_atom_site_type_symbol
_atom_site_fract_x
_atom_site_fract_y
_atom_site_fract_z
_atom_site_occupancy
K1 K 0.0000 0.0000 0.0000 1
In1 In 0.0000 0.5000 0.1902 1
Co1 Co 0.0000 0.0000 0.5000 1

Arrangement y

# KIn2Co PBE relaxed
# Fermi-level density of states (states/eV per atom): 0.554
data_KIn2Co
_space_group_name_H-M_alt 'R 3 m'
_space_group_IT_number 160
_space_group_name_Hall 'R 3 -2"'
_cell_length_a 4.3921
_cell_length_b 4.3921
_cell_length_c 20.4755
_cell_angle_alpha 90.00
_cell_angle_beta 90.00
_cell_angle_gamma 120.00
loop_
_atom_site_label
_atom_site_type_symbol
_atom_site_fract_x
_atom_site_fract_y
_atom_site_fract_z
_atom_site_occupancy
K1 K 0.0000 0.0000 0.0000 1
In1 In 0.0000 0.0000 0.5434 1
In2 In 0.0000 0.0000 0.7978 1
Co1 Co 0.0000 0.0000 0.1734 1

Order of stability, best first: arrangement y, arrangement x, arrangement w

Arrangement w

# KIn2Co PBE relaxed
# Fermi-level density of states (states/eV per atom): 0.446
data_KIn2Co
_space_group_name_H-M_alt 'R -3 m'
_space_group_IT_number 166
_space_group_name_Hall '-R 3 2"'
_cell_length_a 4.4502
_cell_length_b 4.4502
_cell_length_c 19.7138
_cell_angle_alpha 90.00
_cell_angle_beta 90.00
_cell_angle_gamma 120.00
loop_
_atom_site_label
_atom_site_type_symbol
_atom_site_fract_x
_atom_site_fract_y
_atom_site_fract_z
_atom_site_occupancy
K1 K 0.0000 0.0000 0.0000 1
In1 In 0.0000 0.0000 0.2039 1
Co1 Co 0.0000 0.0000 0.5000 1

Arrangement x

# KIn2Co PBE relaxed
# Fermi-level density of states (states/eV per atom): 0.755
data_KIn2Co
_space_group_name_H-M_alt 'P m m 2'
_space_group_IT_number 25
_cell_length_a 3.2386
_cell_length_b 3.9900
_cell_length_c 8.3984
_cell_angle_alpha 90.00
_cell_angle_beta 90.00
_cell_angle_gamma 90.00
loop_
_space_group_symop_operation_xyz
'x,y,z'
'-x,-y,z'
'-x,y,z'
'x,-y,z'
loop_
_atom_site_label
_atom_site_type_symbol
_atom_site_fract_x
_atom_site_fract_y
_atom_site_fract_z
_atom_site_occupancy
K1 K 0.0000 0.0000 0.0000 1
In1 In 0.0000 0.0000 0.3988 1
In2 In 0.5000 0.5000 0.6754 1
Co1 Co 0.5000 0.5000 0.3707 1

Arrangement y

# KIn2Co PBE relaxed
# Fermi-level density of states (states/eV per atom): 1.029
data_KIn2Co
_space_group_name_H-M_alt 'C 1 2/m 1'
_space_group_IT_number 12
_cell_length_a 6.3724
_cell_length_b 10.2281
_cell_length_c 2.9993
_cell_angle_alpha 90.00
_cell_angle_beta 90.42
_cell_angle_gamma 90.00
loop_
_space_group_symop_operation_xyz
'x,y,z'
'-x,-y,-z'
'-x,y,-z'
'x,-y,z'
'x+1/2,y+1/2,z'
'-x+1/2,-y+1/2,-z'
'-x+1/2,y+1/2,-z'
'x+1/2,-y+1/2,z'
loop_
_atom_site_label
_atom_site_type_symbol
_atom_site_fract_x
_atom_site_fract_y
_atom_site_fract_z
_atom_site_occupancy
K1 K 0.0000 0.0000 0.0000 1
In1 In 0.2500 0.2500 0.5000 1
Co1 Co 0.0000 0.5000 0.0000 1

Order of stability, best first: arrangement w, arrangement x, arrangement y

Arrangement w

# KInCo3 PBE relaxed
# Fermi-level density of states (states/eV per atom): 1.396
data_KInCo3
_space_group_name_H-M_alt 'P m -3 m'
_space_group_IT_number 221
_space_group_name_Hall '-P 4 2 3'
_cell_length_a 4.9761
_cell_length_b 4.9761
_cell_length_c 4.9761
_cell_angle_alpha 90.00
_cell_angle_beta 90.00
_cell_angle_gamma 90.00
loop_
_atom_site_label
_atom_site_type_symbol
_atom_site_fract_x
_atom_site_fract_y
_atom_site_fract_z
_atom_site_occupancy
K1 K 0.0000 0.0000 0.0000 1
In1 In 0.5000 0.5000 0.5000 1
Co1 Co 0.0000 0.5000 0.5000 1

Arrangement x

# KInCo3 PBE relaxed
# Fermi-level density of states (states/eV per atom): 2.398
data_KInCo3
_space_group_name_H-M_alt 'P m -3 m'
_space_group_IT_number 221
_space_group_name_Hall '-P 4 2 3'
_cell_length_a 4.5251
_cell_length_b 4.5251
_cell_length_c 4.5251
_cell_angle_alpha 90.00
_cell_angle_beta 90.00
_cell_angle_gamma 90.00
loop_
_atom_site_label
_atom_site_type_symbol
_atom_site_fract_x
_atom_site_fract_y
_atom_site_fract_z
_atom_site_occupancy
K1 K 0.0000 0.0000 0.0000 1
In1 In 0.5000 0.5000 0.5000 1
Co1 Co 0.0000 0.0000 0.5000 1

Order of stability, best first: arrangement w, arrangement x